Here is an optimized crystal structure of MgNb2HPb from Alexandria via LeMat-Bulk. Energies are from PBE.

Computed properties:
- Density of states at the Fermi level: 6.62 states/eV per cell
- Final energy: -18.1 eV/cell
- Calculated volume: 122.7 Å³/f.u.

Cell: 4.8932 4.8932 5.1248 Å, 90.00 90.00 90.00°
Closest atoms and distances in Å follow each position.
Positions (direct):
1 Mg 0.0000 0.0000 0.0000  4 Nb 2.45, 2 Pb 2.56
2 Nb 0.0000 0.5000 0.0000  2 Mg 2.45
3 Nb 0.5000 0.0000 0.0000  2 Mg 2.45
4 H 0.5000 0.5000 0.5000  4 Pb 3.46, 8 Nb 3.54
5 Pb 0.0000 0.0000 0.5000  2 Mg 2.56